Record 1
A relaxed Mg3CSe crystal, computed with PBE.

Lattice parameters (Å, degrees): 4.380 4.380 4.380 90.00 90.00 90.00
Fractional positions:
Mg1 0.500 0.000 0.000
Mg2 0.000 0.500 0.000
Se1 0.500 0.500 0.500
Mg3 0.000 0.000 0.500
C1 0.000 0.000 0.000

Calculated values
ΔE to the lowest computed polymorph (meV/atom): 0
Final energy (eV per atom): -3.877
Formation energy without anion corrections (eV per atom): -0.38
Space-group type: Pm-3m, No. 221
Crystal system: cubic
Magnetic moment (μB/f.u.): 0.00

=====

Record 2
A relaxed MgSi2C4 crystal, computed with PBE.

Lattice parameters (Å, degrees): 3.883 3.883 6.206 71.77 71.77 90.00
Fractional positions:
C1 0.500 0.000 0.000
C2 0.228 0.228 0.545
C3 0.000 0.500 0.000
C4 0.772 0.772 0.455
Mg1 0.000 0.000 0.000
Si1 0.608 0.608 0.784
Si2 0.392 0.392 0.216

Calculated values
Final energy (eV per atom): -4.845
Formation energy without anion corrections (eV per atom): 2.20
Space-group type: I4/mmm, No. 139
Crystal system: tetragonal
Magnetic moment (μB/f.u.): 0.00

=====

Record 3
A relaxed MgSiC2 crystal, computed with PBE.

Lattice parameters (Å, degrees): 3.841 3.841 3.841 60.00 60.00 60.00
Fractional positions:
C1 0.750 0.750 0.750
Si1 0.500 0.500 0.500
Mg1 0.000 0.000 0.000
C2 0.250 0.250 0.250

Calculated values
ΔE to the lowest computed polymorph (meV/atom): 918
Final energy (eV per atom): -4.778
Formation energy without anion corrections (eV per atom): 1.59
Space-group type: Fm-3m, No. 225
Crystal system: cubic
Magnetic moment (μB/f.u.): 0.00

=====

Record 4
A relaxed Mg6SiC crystal, computed with PBE.

Lattice parameters (Å, degrees): 7.210 7.210 4.376 90.00 90.00 133.94
Fractional positions:
Mg1 0.814 0.682 0.500
Mg2 0.181 0.351 0.000
Mg3 0.818 0.182 0.500
Mg4 0.318 0.186 0.500
Mg5 0.681 0.319 0.000
Mg6 0.649 0.819 0.000
Si1 0.107 0.893 0.000
C1 0.431 0.569 0.500

Calculated values
ΔE to the lowest computed polymorph (meV/atom): 108
Final energy (eV per atom): -2.607
Formation energy without anion corrections (eV per atom): 0.42
Space-group type: Amm2, No. 38
Crystal system: orthorhombic
Magnetic moment (μB/f.u.): 0.00

=====

Record 5
A relaxed MgSiC crystal, computed with PBE.

Lattice parameters (Å, degrees): 3.064 3.064 9.432 90.00 90.00 120.00
Fractional positions:
Si1 0.667 0.333 0.746
Si2 0.333 0.667 0.254
Mg1 0.000 0.000 0.000
C1 0.333 0.667 0.669
Mg2 0.000 0.000 0.500
C2 0.667 0.333 0.331

Calculated values
ΔE to the lowest computed polymorph (meV/atom): 10
Final energy (eV per atom): -5.372
Formation energy without anion corrections (eV per atom): 0.04
Space-group type: P-3m1, No. 164
Crystal system: trigonal
Magnetic moment (μB/f.u.): 0.00

=====

Record 6
A relaxed MgSiC2 crystal, computed with PBE.

Lattice parameters (Å, degrees): 4.416 4.416 6.067 68.66 68.66 90.00
Fractional positions:
C1 0.375 0.280 0.750
Mg1 0.250 0.750 0.500
Si1 0.750 0.250 0.500
C2 0.030 0.625 0.250
C3 0.720 0.125 0.250
Si2 0.000 0.000 0.000
C4 0.875 0.970 0.750
Mg2 0.500 0.500 0.000

Calculated values
ΔE to the lowest computed polymorph (meV/atom): 0
Final energy (eV per atom): -5.695
Formation energy without anion corrections (eV per atom): 0.67
Space-group type: I-42d, No. 122
Crystal system: tetragonal
Magnetic moment (μB/f.u.): 0.00

=====

Record 7
A relaxed MgSiC crystal, computed with PBE.

Lattice parameters (Å, degrees): 9.453 3.070 5.325 90.00 100.45 90.00
Fractional positions:
Si1 0.749 0.500 0.248
Si2 0.749 0.000 0.748
C1 0.671 0.000 0.389
Mg1 0.000 0.500 0.000
C2 0.329 0.000 0.611
C3 0.329 0.500 0.111
Mg2 0.000 0.000 0.500
Si3 0.251 0.000 0.252
Si4 0.251 0.500 0.752
Mg3 0.500 0.500 0.500
C4 0.671 0.500 0.889
Mg4 0.500 0.000 0.000

Calculated values
ΔE to the lowest computed polymorph (meV/atom): 3
Final energy (eV per atom): -5.380
Formation energy without anion corrections (eV per atom): 0.03
Space-group type: C2/m, No. 12
Crystal system: monoclinic
Magnetic moment (μB/f.u.): 0.00

=====

Record 8
A relaxed MgSi2C crystal, computed with PBE.

Lattice parameters (Å, degrees): 4.343 4.343 4.343 60.00 60.00 60.00
Fractional positions:
C1 0.000 0.000 0.000
Si1 0.750 0.750 0.750
Si2 0.250 0.250 0.250
Mg1 0.500 0.500 0.500

Calculated values
ΔE to the lowest computed polymorph (meV/atom): 1063
Final energy (eV per atom): -3.937
Formation energy without anion corrections (eV per atom): 1.48
Space-group type: Fm-3m, No. 225
Crystal system: cubic
Magnetic moment (μB/f.u.): 0.00

=====

Record 9
A relaxed Mg6SiC crystal, computed with PBE.

Lattice parameters (Å, degrees): 6.270 6.270 3.769 90.00 90.00 98.21
Fractional positions:
Mg1 0.387 0.097 0.500
Mg2 0.559 0.791 0.000
C1 0.267 0.733 0.500
Mg3 0.102 0.898 0.000
Mg4 0.209 0.441 0.000
Mg5 0.903 0.613 0.500
Si1 0.887 0.113 0.500
Mg6 0.686 0.314 0.000

Calculated values
ΔE to the lowest computed polymorph (meV/atom): 0
Final energy (eV per atom): -2.715
Formation energy without anion corrections (eV per atom): 0.31
Space-group type: Amm2, No. 38
Crystal system: orthorhombic
Magnetic moment (μB/f.u.): 0.00

=====

Record 10
A relaxed MgSiC crystal, computed with PBE.

Lattice parameters (Å, degrees): 3.136 3.136 9.901 90.00 90.00 120.00
Fractional positions:
Si1 0.667 0.333 0.892
C1 0.000 0.000 0.937
Mg1 0.000 0.000 0.666
C2 0.000 0.000 0.437
Si2 0.333 0.667 0.392
Mg2 0.000 0.000 0.166

Calculated values
ΔE to the lowest computed polymorph (meV/atom): 44
Final energy (eV per atom): -5.338
Formation energy without anion corrections (eV per atom): 0.08
Space-group type: P6_3mc, No. 186
Crystal system: hexagonal
Magnetic moment (μB/f.u.): 0.00

=====

Record 11
A relaxed MgSiC crystal, computed with PBE.

Lattice parameters (Å, degrees): 3.072 3.072 9.251 90.00 90.00 120.00
Fractional positions:
C1 0.667 0.333 0.532
Mg1 0.667 0.333 0.861
Si1 0.000 0.000 0.611
C2 0.333 0.667 0.032
Si2 0.000 0.000 0.111
Mg2 0.333 0.667 0.361

Calculated values
ΔE to the lowest computed polymorph (meV/atom): 0
Final energy (eV per atom): -5.382
Formation energy without anion corrections (eV per atom): 0.03
Space-group type: P6_3mc, No. 186
Crystal system: hexagonal
Magnetic moment (μB/f.u.): 0.00

=====

Record 12
A relaxed MgSiC crystal, computed with PBE.

Lattice parameters (Å, degrees): 3.099 11.116 4.435 90.00 90.00 90.00
Fractional positions:
Si1 0.000 0.942 0.750
Mg1 0.000 0.690 0.750
Si2 0.000 0.058 0.250
C1 0.500 0.153 0.250
Si3 0.500 0.442 0.750
Si4 0.500 0.558 0.250
C2 0.000 0.347 0.750
Mg2 0.000 0.310 0.250
C3 0.500 0.847 0.750
Mg3 0.500 0.190 0.750
Mg4 0.500 0.810 0.250
C4 0.000 0.653 0.250

Calculated values
ΔE to the lowest computed polymorph (meV/atom): 26
Final energy (eV per atom): -5.356
Formation energy without anion corrections (eV per atom): 0.06
Space-group type: Cmcm, No. 63
Crystal system: orthorhombic
Magnetic moment (μB/f.u.): 0.00

=====

Record 13
A relaxed MgSiC crystal, computed with PBE.

Lattice parameters (Å, degrees): 3.063 3.063 4.708 90.00 90.00 120.00
Fractional positions:
C1 0.333 0.667 0.402
Si1 0.667 0.333 0.241
Mg1 0.000 0.000 0.729

Calculated values
ΔE to the lowest computed polymorph (meV/atom): 9
Final energy (eV per atom): -5.374
Formation energy without anion corrections (eV per atom): 0.04
Space-group type: P3m1, No. 156
Crystal system: trigonal
Magnetic moment (μB/f.u.): 0.00

=====

Record 14
A relaxed MgSi2C crystal, computed with PBE.

Lattice parameters (Å, degrees): 6.130 6.130 5.286 54.56 54.56 90.00
Fractional positions:
C1 0.500 0.500 0.000
Mg1 0.000 0.000 0.000
Si1 0.875 0.782 0.750
Si2 0.218 0.625 0.250
C2 0.250 0.750 0.500
Mg2 0.750 0.250 0.500
Si3 0.532 0.125 0.250
Si4 0.375 0.468 0.750

Calculated values
ΔE to the lowest computed polymorph (meV/atom): 0
Final energy (eV per atom): -4.999
Formation energy without anion corrections (eV per atom): 0.42
Space-group type: I-42d, No. 122
Crystal system: tetragonal
Magnetic moment (μB/f.u.): 0.00

=====

Record 15
A relaxed Mg2TaSiC crystal, computed with PBE.

Lattice parameters (Å, degrees): 4.208 4.332 4.208 90.00 90.00 90.00
Fractional positions:
C1 0.000 0.000 0.000
Mg1 0.000 0.000 0.500
Mg2 0.500 0.000 0.000
Ta1 0.000 0.500 0.000
Si1 0.500 0.500 0.500

Calculated values
Final energy (eV per atom): -5.845
Formation energy without anion corrections (eV per atom): 0.09
Space-group type: P4/mmm, No. 123
Crystal system: tetragonal
Magnetic moment (μB/f.u.): 0.00

=====

Record 16
A relaxed Sm4Mg2C crystal, computed with PBE.

Lattice parameters (Å, degrees): 5.120 5.120 8.644 72.77 72.77 90.00
Fractional positions:
C1 0.000 0.000 0.000
Sm1 0.156 0.156 0.687
Sm2 0.500 0.000 0.000
Mg1 0.366 0.366 0.267
Sm3 0.000 0.500 0.000
Mg2 0.634 0.634 0.733
Sm4 0.844 0.844 0.313

Calculated values
Final energy (eV per atom): -4.425
Space-group type: I4/mmm, No. 139
Crystal system: tetragonal
Magnetic moment (μB/f.u.): 0.00

=====

Record 17
A relaxed Sm8MgC4 crystal, computed with PBE.

Lattice parameters (Å, degrees): 3.675 9.336 9.562 83.33 78.92 78.65
Fractional positions:
Sm1 0.558 0.648 0.236
Sm2 0.852 0.986 0.309
Sm3 0.879 0.681 0.562
Sm4 0.179 0.017 0.625
C1 0.185 0.495 0.135
C2 0.846 0.508 0.799
Mg1 0.515 0.002 0.967
C3 0.668 0.167 0.497
Sm5 0.153 0.322 0.372
Sm6 0.474 0.355 0.698
C4 0.364 0.836 0.437
Sm7 0.218 0.659 0.905
Sm8 0.814 0.344 0.028

Calculated values
Final energy (eV per atom): -5.971
Space-group type: Cm, No. 8
Crystal system: monoclinic
Magnetic moment (μB/f.u.): 0.00

=====

Record 18
A relaxed Sm2MgSnC crystal, computed with PBE.

Lattice parameters (Å, degrees): 4.439 5.078 5.078 90.00 90.00 90.00
Fractional positions:
Mg1 0.500 0.000 0.000
Sm1 0.000 0.500 0.000
Sm2 0.000 0.000 0.500
C1 0.000 0.000 0.000
Sn1 0.500 0.500 0.500

Calculated values
Final energy (eV per atom): -5.282
Space-group type: P4/mmm, No. 123
Crystal system: tetragonal
Magnetic moment (μB/f.u.): 0.00

=====

Record 19
A relaxed TbSm2MgC crystal, computed with PBE.

Lattice parameters (Å, degrees): 4.946 5.134 5.134 90.00 90.00 90.00
Fractional positions:
Tb1 0.500 0.000 0.000
Sm1 0.000 0.000 0.500
Mg1 0.500 0.500 0.500
C1 0.000 0.000 0.000
Sm2 0.000 0.500 0.000

Calculated values
Final energy (eV per atom): -5.093
Space-group type: P4/mmm, No. 123
Crystal system: tetragonal
Magnetic moment (μB/f.u.): 0.00

=====

Record 20
A relaxed Tb2SmMgC crystal, computed with PBE.

Lattice parameters (Å, degrees): 5.162 4.977 4.977 90.00 90.00 90.00
Fractional positions:
Tb1 0.000 0.500 0.000
Mg1 0.500 0.500 0.500
Tb2 0.000 0.000 0.500
C1 0.000 0.000 0.000
Sm1 0.500 0.000 0.000

Calculated values
Final energy (eV per atom): -5.099
Space-group type: P4/mmm, No. 123
Crystal system: tetragonal
Magnetic moment (μB/f.u.): 0.00

=====

Record 21
A relaxed Sm2YMgC crystal, computed with PBE.

Lattice parameters (Å, degrees): 4.921 5.143 5.143 90.00 90.00 90.00
Fractional positions:
C1 0.000 0.000 0.000
Sm1 0.000 0.500 0.000
Sm2 0.000 0.000 0.500
Mg1 0.500 0.500 0.500
Y1 0.500 0.000 0.000

Calculated values
Final energy (eV per atom): -5.476
Space-group type: P4/mmm, No. 123
Crystal system: tetragonal
Magnetic moment (μB/f.u.): 0.00

=====

Record 22
A relaxed SmY2MgC crystal, computed with PBE.

Lattice parameters (Å, degrees): 5.188 4.954 4.954 90.00 90.00 90.00
Fractional positions:
Mg1 0.500 0.500 0.500
Y1 0.000 0.000 0.500
Y2 0.000 0.500 0.000
Sm1 0.500 0.000 0.000
C1 0.000 0.000 0.000

Calculated values
Final energy (eV per atom): -5.865
Space-group type: P4/mmm, No. 123
Crystal system: tetragonal
Magnetic moment (μB/f.u.): 0.00

=====

Record 23
A relaxed MgSnC3 crystal, computed with PBE.

Lattice parameters (Å, degrees): 4.159 4.159 4.159 90.00 90.00 90.00
Fractional positions:
C1 0.000 0.500 0.000
C2 0.500 0.000 0.000
C3 0.000 0.000 0.500
Mg1 0.000 0.000 0.000
Sn1 0.500 0.500 0.500

Calculated values
ΔE to the lowest computed polymorph (meV/atom): 58
Final energy (eV per atom): -3.983
Space-group type: Pm-3m, No. 221
Crystal system: cubic
Magnetic moment (μB/f.u.): 0.00

=====

Record 24
A relaxed Mg14SnC crystal, computed with PBE.

Lattice parameters (Å, degrees): 6.345 6.345 9.801 90.00 90.00 120.00
Fractional positions:
Mg1 0.679 0.840 0.270
Mg2 0.160 0.840 0.730
Mg3 0.506 0.012 0.500
Mg4 0.006 0.503 0.000
Mg5 0.506 0.494 0.500
Mg6 0.679 0.840 0.730
Mg7 0.160 0.321 0.270
Mg8 0.667 0.333 0.247
Mg9 0.988 0.494 0.500
Mg10 0.497 0.994 0.000
Mg11 0.667 0.333 0.753
Mg12 0.160 0.840 0.270
Mg13 0.497 0.503 0.000
Mg14 0.160 0.321 0.730
Sn1 0.000 0.000 0.000
C1 0.000 0.000 0.500

Calculated values
ΔE to the lowest computed polymorph (meV/atom): 98
Final energy (eV per atom): -1.967
Space-group type: P-6m2, No. 187
Crystal system: hexagonal
Magnetic moment (μB/f.u.): 0.00

=====

Record 25
A relaxed Mg14SnC crystal, computed with PBE.

Lattice parameters (Å, degrees): 6.294 6.294 9.769 90.00 90.00 108.70
Fractional positions:
Mg1 0.060 0.373 0.000
Sn1 0.109 0.891 0.500
Mg2 0.627 0.940 0.000
Mg3 0.572 0.849 0.500
Mg4 0.579 0.421 0.000
Mg5 0.876 0.124 0.725
Mg6 0.392 0.163 0.262
C1 0.882 0.118 0.500
Mg7 0.108 0.892 0.000
Mg8 0.351 0.649 0.772
Mg9 0.151 0.428 0.500
Mg10 0.351 0.649 0.228
Mg11 0.392 0.163 0.738
Mg12 0.876 0.124 0.275
Mg13 0.837 0.608 0.738
Mg14 0.837 0.608 0.262

Calculated values
ΔE to the lowest computed polymorph (meV/atom): 0
Final energy (eV per atom): -2.065
Space-group type: Amm2, No. 38
Crystal system: orthorhombic
Magnetic moment (μB/f.u.): 0.00